A plane-wave DFT calculation with PBE was carried out for a geometry-optimized SrLiBr structure.

abc: 7.648 7.150 4.073
angles: 80.89 67.38 31.73
Positions (direct):
Sr 0.000 0.000 0.000
Li 0.705 0.705 0.295
Br 0.323 0.323 0.677

Output
Its total magnetization is 0.00 μB/f.u. The density is 2.858 g/cm³. As for the space group: Fmm2, No. 42. The density of states at the Fermi level comes out at 0.62 states/eV/atom. The polymorph energy (0 for the lowest one) comes out at 110 meV per atom.